A relaxed MnTl3I2O8 crystal. Source: Alexandria, functional PBE+U.

Cell: 6.1581 6.1581 7.8501 Å, 90.00 90.00 120.00°
Closest atoms and distances in Å follow each position.
Element x y z (fractional)
I (0.6667, 0.3333, 0.6530)  4 O 1.85-1.96
I (0.3333, 0.6667, 0.3470)  4 O 1.85-1.96
Tl (0.3333, 0.6667, 0.7988)  1 O 2.45
Tl (0.0000, 0.0000, 0.0000)  6 O 3.05
Tl (0.6667, 0.3333, 0.2012)  1 O 2.45
O (0.8498, 0.6997, 0.6691)  1 I 1.96, 1 Mn 2.08
O (0.6667, 0.3333, 0.8890)  1 I 1.85
O (0.3003, 0.1502, 0.6691)  1 I 1.96, 1 Mn 2.08
O (0.8498, 0.1502, 0.6691)  1 I 1.96, 1 Mn 2.08
O (0.3333, 0.6667, 0.1110)  1 I 1.85
O (0.1502, 0.8498, 0.3309)  1 I 1.96, 1 Mn 2.08
O (0.6997, 0.8498, 0.3309)  1 I 1.96, 1 Mn 2.08
O (0.1502, 0.3003, 0.3309)  1 I 1.96, 1 Mn 2.08
Mn (0.0000, 0.0000, 0.5000)  6 O 2.08

Properties
Uncorrected energy: -4.648 eV/atom
Total magnetic moment: 0.29 μB per atom
Space-group type: P-3m1